Density functional theory data (GGA-PBE) for an optimized crystal structure of PuZr4Zn5.

Results
Energy of formation from the pure elements   -21 kJ/mol of atoms
Uncorrected energy   -5.7048 eV per atom

Unit cell a=3.3375 b=3.3375 c=17.3833 alpha=90.00 beta=90.00 gamma=90.00
Closest atoms and distances in Å follow each position.
Sites, in units of the cell vectors:
Pu 0.0000 0.0000 0.0000  8 Zn 3.11, 4 Pu 3.34
Zr 0.0000 0.0000 0.2103  8 Zn 2.86-2.90
Zr 0.0000 0.0000 0.4035  8 Zn 2.90
Zr 0.0000 0.0000 0.5965  8 Zn 2.90
Zr 0.0000 0.0000 0.7897  8 Zn 2.86-2.90
Zn 0.5000 0.5000 0.1169  4 Zr 2.86, 4 Pu 3.11
Zn 0.5000 0.5000 0.3070  8 Zr 2.90
Zn 0.5000 0.5000 0.5000  8 Zr 2.90
Zn 0.5000 0.5000 0.6930  8 Zr 2.90
Zn 0.5000 0.5000 0.8831  4 Zr 2.86, 4 Pu 3.11